# Na2LiAg, optimized geometry, DFT PBE
data_Na2LiAg
_space_group_name_H-M_alt 'P 1'
_space_group_IT_number 1
_space_group_name_Hall 'P 1'
_cell_length_a 5.151
_cell_length_b 5.151
_cell_length_c 5.151
_cell_angle_alpha 60.00
_cell_angle_beta 60.00
_cell_angle_gamma 60.00
loop_
_atom_site_label
_atom_site_type_symbol
_atom_site_fract_x
_atom_site_fract_y
_atom_site_fract_z
Na1 Na 0.250 0.250 0.250
Na2 Na 0.750 0.750 0.750
Ag1 Ag 0.500 0.500 0.500
Li1 Li 0.000 0.000 0.000
# **Density of states at the Fermi level**: 0.3612 states/eV/atom
# **Energy relative to the elements**: 0.02 eV per atom
# **Polymorph energy (0 for the lowest one)**: 21.3 meV/atom

=====

# Na3Li12Ag5, optimized geometry, DFT PBE
data_Na3Li12Ag5
_space_group_name_H-M_alt 'P 1'
_space_group_IT_number 1
_space_group_name_Hall 'P 1'
_cell_length_a 14.243
_cell_length_b 14.243
_cell_length_c 14.243
_cell_angle_alpha 109.47
_cell_angle_beta 109.47
_cell_angle_gamma 109.47
loop_
_atom_site_label
_atom_site_type_symbol
_atom_site_fract_x
_atom_site_fract_y
_atom_site_fract_z
Na1 Na 0.750 0.375 0.125
Na2 Na 0.875 0.750 0.125
Na3 Na 0.375 0.750 0.625
Na4 Na 0.250 0.125 0.375
Na5 Na 0.875 0.125 0.250
Na6 Na 0.375 0.625 0.250
Na7 Na 0.625 0.375 0.750
Na8 Na 0.125 0.875 0.750
Na9 Na 0.750 0.875 0.625
Na10 Na 0.625 0.250 0.375
Na11 Na 0.125 0.250 0.875
Na12 Na 0.250 0.625 0.875
Ag1 Ag 0.125 0.375 0.250
Ag2 Ag 0.000 0.500 0.000
Ag3 Ag 0.000 0.000 0.000
Ag4 Ag 0.375 0.250 0.125
Ag5 Ag 0.500 0.000 0.500
Ag6 Ag 0.500 0.500 0.000
Ag7 Ag 0.125 0.750 0.375
Ag8 Ag 0.750 0.125 0.875
Ag9 Ag 0.750 0.625 0.375
Ag10 Ag 0.375 0.125 0.750
Ag11 Ag 0.625 0.875 0.250
Ag12 Ag 0.500 0.500 0.500
Ag13 Ag 0.500 0.000 0.000
Ag14 Ag 0.000 0.000 0.500
Ag15 Ag 0.250 0.375 0.625
Ag16 Ag 0.250 0.875 0.125
Ag17 Ag 0.000 0.500 0.500
Ag18 Ag 0.875 0.250 0.625
Ag19 Ag 0.625 0.750 0.875
Ag20 Ag 0.875 0.625 0.750
Li1 Li 0.689 0.069 0.003
Li2 Li 0.313 0.503 0.434
Li3 Li 0.997 0.431 0.311
Li4 Li 0.503 0.189 0.069
Li5 Li 0.620 0.689 0.687
Li6 Li 0.997 0.566 0.187
Li7 Li 0.313 0.811 0.380
Li8 Li 0.066 0.880 0.069
Li9 Li 0.566 0.997 0.687
Li10 Li 0.689 0.620 0.187
Li11 Li 0.811 0.497 0.431
Li12 Li 0.813 0.934 0.003
Li13 Li 0.069 0.689 0.503
Li14 Li 0.431 0.434 0.120
Li15 Li 0.120 0.934 0.431
Li16 Li 0.380 0.069 0.566
Li17 Li 0.120 0.187 0.189
Li18 Li 0.497 0.687 0.066
Li19 Li 0.813 0.880 0.311
Li20 Li 0.069 0.380 0.066
Li21 Li 0.431 0.997 0.811
Li22 Li 0.566 0.569 0.380
Li23 Li 0.934 0.813 0.503
Li24 Li 0.811 0.313 0.880
Li25 Li 0.434 0.431 0.620
Li26 Li 0.066 0.187 0.497
Li27 Li 0.189 0.687 0.120
Li28 Li 0.187 0.120 0.689
Li29 Li 0.569 0.003 0.189
Li30 Li 0.931 0.620 0.934
Li31 Li 0.503 0.313 0.934
Li32 Li 0.620 0.931 0.434
Li33 Li 0.880 0.813 0.811
Li34 Li 0.880 0.066 0.569
Li35 Li 0.931 0.311 0.497
Li36 Li 0.187 0.066 0.997
Li37 Li 0.569 0.566 0.880
Li38 Li 0.434 0.003 0.313
Li39 Li 0.311 0.380 0.813
Li40 Li 0.189 0.503 0.569
Li41 Li 0.934 0.120 0.931
Li42 Li 0.687 0.189 0.620
Li43 Li 0.497 0.811 0.931
Li44 Li 0.003 0.434 0.813
Li45 Li 0.380 0.311 0.313
Li46 Li 0.003 0.569 0.689
Li47 Li 0.687 0.497 0.566
Li48 Li 0.311 0.931 0.997
# **Density of states at the Fermi level**: 0.4609 states/eV/atom
# **Energy relative to the elements**: 0.20 eV per atom

=====

# NaLi3Ag, optimized geometry, DFT PBE
data_NaLi3Ag
_space_group_name_H-M_alt 'P 1'
_space_group_IT_number 1
_space_group_name_Hall 'P 1'
_cell_length_a 5.061
_cell_length_b 5.061
_cell_length_c 5.061
_cell_angle_alpha 90.00
_cell_angle_beta 90.00
_cell_angle_gamma 90.00
loop_
_atom_site_label
_atom_site_type_symbol
_atom_site_fract_x
_atom_site_fract_y
_atom_site_fract_z
Na1 Na 0.500 0.500 0.500
Ag1 Ag 0.000 0.000 0.000
Li1 Li 0.000 0.500 0.000
Li2 Li 0.000 0.000 0.500
Li3 Li 0.500 0.000 0.000
# **Density of states at the Fermi level**: 0.3829 states/eV/atom
# **Energy relative to the elements**: 0.04 eV per atom
# **Polymorph energy (0 for the lowest one)**: 89.9 meV/atom

=====

# NaLi3Ag4, optimized geometry, DFT PBE
data_NaLi3Ag4
_space_group_name_H-M_alt 'P 1'
_space_group_IT_number 1
_space_group_name_Hall 'P 1'
_cell_length_a 4.558
_cell_length_b 6.817
_cell_length_c 9.112
_cell_angle_alpha 90.00
_cell_angle_beta 90.00
_cell_angle_gamma 90.00
loop_
_atom_site_label
_atom_site_type_symbol
_atom_site_fract_x
_atom_site_fract_y
_atom_site_fract_z
Na1 Na 0.000 0.500 0.000
Na2 Na 0.000 0.500 0.500
Ag1 Ag 0.500 0.777 0.000
Ag2 Ag 0.500 0.777 0.500
Ag3 Ag 0.500 0.223 0.000
Ag4 Ag 0.500 0.223 0.500
Ag5 Ag 0.001 0.777 0.750
Ag6 Ag 0.999 0.777 0.250
Ag7 Ag 0.999 0.223 0.250
Ag8 Ag 0.001 0.223 0.750
Li1 Li 0.000 0.000 0.000
Li2 Li 0.000 0.000 0.500
Li3 Li 0.501 0.000 0.750
Li4 Li 0.499 0.000 0.250
Li5 Li 0.501 0.500 0.750
Li6 Li 0.499 0.500 0.250
# **Density of states at the Fermi level**: 0.2206 states/eV/atom
# **Energy relative to the elements**: -0.13 eV per atom

=====

# Na2LiAg, optimized geometry, DFT PBE
data_Na2LiAg
_space_group_name_H-M_alt 'P 1'
_space_group_IT_number 1
_space_group_name_Hall 'P 1'
_cell_length_a 5.080
_cell_length_b 5.080
_cell_length_c 5.104
_cell_angle_alpha 60.15
_cell_angle_beta 60.15
_cell_angle_gamma 60.00
loop_
_atom_site_label
_atom_site_type_symbol
_atom_site_fract_x
_atom_site_fract_y
_atom_site_fract_z
Na1 Na 0.000 0.000 0.999
Na2 Na 0.250 0.250 0.251
Li1 Li 0.499 0.499 0.504
Ag1 Ag 0.751 0.751 0.746
# **Density of states at the Fermi level**: 0.5477 states/eV/atom
# **Energy relative to the elements**: 0.00 eV per atom
# **Polymorph energy (0 for the lowest one)**: 0.0 meV/atom

=====

# Na2LiAg, optimized geometry, DFT PBE
data_Na2LiAg
_space_group_name_H-M_alt 'P 1'
_space_group_IT_number 1
_space_group_name_Hall 'P 1'
_cell_length_a 4.615
_cell_length_b 4.549
_cell_length_c 4.549
_cell_angle_alpha 90.00
_cell_angle_beta 90.00
_cell_angle_gamma 90.00
loop_
_atom_site_label
_atom_site_type_symbol
_atom_site_fract_x
_atom_site_fract_y
_atom_site_fract_z
Na1 Na 0.000 0.000 0.500
Na2 Na 0.000 0.500 0.000
Ag1 Ag 0.500 0.000 0.000
Li1 Li 0.500 0.500 0.500
# **Density of states at the Fermi level**: 0.3900 states/eV/atom
# **Energy relative to the elements**: 0.02 eV per atom
# **Polymorph energy (0 for the lowest one)**: 13.4 meV/atom

=====

E list, top to bottom, in eV/cell: -7.31 -148.78 -9.72 -38.97 -7.39 -7.34